Here is Ca8ZnCo3Si8O28 after structural relaxation from the Alexandria database. Energies are from GGA+U.

Cell: 11.1828 11.1828 5.0653 Å, 90.00 90.00 90.00°
Positions (direct):
Ca 0.2496 0.5794 0.5002
Ca 0.7498 0.0797 0.5001
Ca 0.4206 0.2496 0.4998
Ca 0.9203 0.7498 0.4999
Ca 0.7504 0.4206 0.5002
Ca 0.2502 0.9203 0.5001
Ca 0.5794 0.7504 0.4998
Ca 0.0797 0.2502 0.4999
Zn 0.5000 0.5000 0.0000
Co 0.0000 0.0000 0.0000
Co 0.0000 0.5000 0.0003
Co 0.5000 0.0000 0.9997
Si 0.2500 0.3909 0.9328
Si 0.7499 0.8908 0.9318
Si 0.6091 0.2500 0.0672
Si 0.1092 0.7499 0.0682
Si 0.7500 0.6091 0.9328
Si 0.2501 0.1092 0.9318
Si 0.3909 0.7500 0.0672
Si 0.8908 0.2501 0.0682
O 0.2501 0.7498 0.1843
O 0.7499 0.2502 0.1843
O 0.7498 0.7499 0.8157
O 0.2502 0.2501 0.8157
O 0.3660 0.4484 0.7785
O 0.8660 0.9480 0.7773
O 0.5519 0.1341 0.2224
O 0.0521 0.6340 0.2232
O 0.6340 0.5516 0.7785
O 0.1340 0.0520 0.7773
O 0.4481 0.8659 0.2224
O 0.9479 0.3660 0.2232
O 0.4484 0.6340 0.2215
O 0.9480 0.1340 0.2227
O 0.8659 0.5519 0.7776
O 0.3660 0.0521 0.7768
O 0.5516 0.3660 0.2215
O 0.0520 0.8660 0.2227
O 0.1341 0.4481 0.7776
O 0.6340 0.9479 0.7768
O 0.2493 0.3928 0.2511
O 0.7498 0.8933 0.2501
O 0.6072 0.2493 0.7489
O 0.1067 0.7498 0.7499
O 0.7507 0.6072 0.2511
O 0.2502 0.1067 0.2501
O 0.3928 0.7507 0.7489
O 0.8933 0.2502 0.7499

Symmetry   P-4 (81)
Total energy   -0.5271 Ry/atom